# PBE Y3Zn7Cu2, relaxed
data_Y3Zn7Cu2
_symmetry_space_group_name_H-M 'R -3 m'
_symmetry_Int_Tables_number 166
_symmetry_space_group_name_Hall '-R 3 2"'
_cell_length_a 5.3668
_cell_length_b 5.3668
_cell_length_c 25.7958
_cell_angle_alpha 90.00
_cell_angle_beta 90.00
_cell_angle_gamma 120.00
loop_
_atom_site_label
_atom_site_type_symbol
_atom_site_fract_x
_atom_site_fract_y
_atom_site_fract_z
Y1 Y 0.0000 0.0000 0.0000
Y2 Y 0.0000 0.0000 0.1408
Zn1 Zn 0.0000 0.0000 0.5000
Zn2 Zn 0.0042 0.5021 0.9202
Cu1 Cu 0.0000 0.0000 0.3344
# E_form = -3.67 eV per formula unit
# magnetic moment = 0.00 μB per cell
# DFT total energy = -120.52 eV per cell

=====

# PBE CsTl3Pt2, relaxed
data_CsTl3Pt2
_symmetry_space_group_name_H-M 'C 1 2/m 1'
_symmetry_Int_Tables_number 12
_symmetry_space_group_name_Hall '-C 2y'
_cell_length_a 17.950
_cell_length_b 4.443
_cell_length_c 12.449
_cell_angle_alpha 90.00
_cell_angle_beta 121.94
_cell_angle_gamma 90.00
loop_
_atom_site_label
_atom_site_type_symbol
_atom_site_fract_x
_atom_site_fract_y
_atom_site_fract_z
Cs1 Cs 0.055 0.000 0.252
Tl1 Tl 0.143 0.500 0.777
Tl2 Tl 0.145 0.500 0.055
Tl3 Tl 0.208 0.000 0.645
Pt1 Pt 0.193 0.000 0.962
Pt2 Pt 0.229 0.500 0.534
# E_form = -0.28 eV per formula unit
# magnetic moment = 0.00 μB per cell
# DFT total energy = -81.26 eV per cell